Below is crystalline SbMoIr2F at its relaxed geometry, with properties calculated at the PBE with a Hubbard U level.

## Properties
Space-group type ... P4/mmm
Final energy ... -5.348 eV per atom
Total magnetization ... 0.649 μB/atom

Cell lengths 4.6737, 4.0412, 4.6737 Å; angles 90.00, 90.00, 90.00 degrees
Last column: nearest neighbours and their distance in Å.
Fractional positions:
Ir: 0.0000 0.0000 0.5000  2 F 2.34
Sb: 0.5000 0.5000 0.5000  8 Ir 3.09, 4 Mo 3.30
Ir: 0.5000 0.0000 0.0000  2 F 2.34
Mo: 0.0000 0.5000 0.0000  2 F 2.02
F: 0.0000 0.0000 0.0000  2 Mo 2.02